Record 1
NaMnBe2O, optimized geometry, DFT PBE with a Hubbard U; SG = P4/mmm (123)
1.0
3.752 0.000 0.000
0.000 3.752 0.000
0.000 0.000 4.583
Na Mn Be O
1 1 2 1
direct
0.000 0.000 0.000
0.500 0.500 0.000
0.000 0.500 0.500
0.500 0.000 0.500
0.500 0.500 0.500


Record 2
NaMnBeO4, optimized geometry, DFT PBE with a Hubbard U; SG = I-4 (82)
1.0
-2.473 2.473 3.665
2.473 -2.473 3.665
2.473 2.473 -3.665
Na Mn Be O
1 1 1 4
direct
0.000 0.000 0.000
0.500 0.500 0.000
0.250 0.750 0.500
0.234 0.624 0.121
0.376 0.497 0.610
0.503 0.114 0.879
0.886 0.766 0.390


Record 3
NaMnBe2O4, optimized geometry, DFT PBE with a Hubbard U; SG = I222 (23)
1.0
-1.979 2.209 4.519
1.979 -2.209 4.519
1.979 2.209 -4.519
Na Mn Be O
1 1 2 4
direct
0.000 0.000 0.000
0.500 0.500 0.000
0.248 0.748 0.500
0.752 0.252 0.500
0.111 0.558 0.979
0.420 0.442 0.553
0.580 0.132 0.021
0.889 0.868 0.447


Record 4
NaMnBeO3, optimized geometry, DFT PBE with a Hubbard U; SG = P2_1/m (11)
1.0
6.507 0.000 0.000
0.000 2.937 0.000
-1.990 0.000 6.722
Na Mn Be O
2 2 2 6
direct
0.196 0.250 0.206
0.804 0.750 0.794
0.339 0.750 0.851
0.661 0.250 0.149
0.089 0.250 0.604
0.911 0.750 0.396
0.127 0.250 0.839
0.168 0.750 0.540
0.456 0.750 0.144
0.544 0.250 0.856
0.832 0.250 0.460
0.873 0.750 0.161


Record 5
Na2MnBeO4, optimized geometry, DFT PBE with a Hubbard U; SG = Fddd (70)
1.0
0.000 5.298 8.846
2.365 0.000 8.846
2.365 5.298 0.000
Na Mn Be O
4 2 2 8
direct
0.058 0.058 0.692
0.308 0.308 0.942
0.692 0.692 0.058
0.942 0.942 0.308
0.125 0.125 0.125
0.875 0.875 0.875
0.375 0.375 0.375
0.625 0.625 0.625
0.010 0.647 0.561
0.282 0.561 0.647
0.353 0.990 0.718
0.439 0.718 0.990
0.561 0.282 0.010
0.647 0.010 0.282
0.718 0.439 0.353
0.990 0.353 0.439


Number 1: uncorrected energy -4.070 eV per atom. Number 2: uncorrected energy -6.235 eV per atom. Number 3: uncorrected energy -6.409 eV per atom. Number 4: uncorrected energy -6.305 eV per atom. Number 5: uncorrected energy -5.756 eV per atom.